Entry 1:
VASP calculation (GGA-PBE) on crystalline TmGa2Pt at its relaxed geometry. Values from VASP.

Cell and atoms, written as Quantum ESPRESSO input:
```
&SYSTEM
  ibrav = 0, nat = 16, ntyp = 3
/
ATOMIC_SPECIES
Tm 168.93 Tm.upf
Ga 69.72 Ga.upf
Pt 195.08 Pt.upf
CELL_PARAMETERS angstrom
8.081 0.000 0.000
0.000 6.810 0.000
0.000 0.000 5.444
ATOMIC_POSITIONS angstrom
Tm 0.339 1.703 0.678
Tm 3.701 5.108 3.400
Tm 4.380 1.703 2.044
Tm 7.741 5.108 4.766
Ga 1.514 0.350 3.384
Ga 1.514 3.055 3.384
Ga 2.526 3.755 0.662
Ga 2.526 6.460 0.662
Ga 5.555 0.350 4.781
Ga 5.555 3.055 4.781
Ga 6.566 3.755 2.060
Ga 6.566 6.460 2.060
Pt 0.718 5.108 2.009
Pt 3.322 1.703 4.731
Pt 4.759 5.108 0.713
Pt 7.362 1.703 3.435
```

Output
E_tot   -4.974 eV per atom
Energy of formation from the pure elements   -80.3 kJ/mol of atoms

Entry 2:
VASP calculation (GGA-PBE) on crystalline GdCdCuGe at its relaxed geometry. Values from VASP.

Cell and atoms, written as Quantum ESPRESSO input:
```
&SYSTEM
  ibrav = 0, nat = 4, ntyp = 4
/
ATOMIC_SPECIES
Gd 157.25 Gd.upf
Cd 112.41 Cd.upf
Cu 63.55 Cu.upf
Ge 72.64 Ge.upf
CELL_PARAMETERS angstrom
0.000 3.429 3.429
3.429 0.000 3.429
3.429 3.429 0.000
ATOMIC_POSITIONS angstrom
Gd 0.000 0.000 0.000
Cd 3.429 3.429 3.429
Cu 5.143 5.143 5.143
Ge 1.714 1.714 1.714
```

Output
E_tot   -6.197 eV per atom
Energy of formation from the pure elements   -26.1 kJ/mol of atoms

Entry 3:
VASP calculation (GGA-PBE) on crystalline Li3RuRh2O6 at its relaxed geometry. Values from VASP.

Cell and atoms, written as Quantum ESPRESSO input:
```
&SYSTEM
  ibrav = 0, nat = 12, ntyp = 4
/
ATOMIC_SPECIES
Li 6.94 Li.upf
Ru 101.07 Ru.upf
Rh 102.91 Rh.upf
O 16.00 O.upf
CELL_PARAMETERS angstrom
2.657 -4.683 0.000
2.657 4.683 0.000
-1.757 0.000 4.745
ATOMIC_POSITIONS angstrom
Li 0.000 0.000 0.000
Li 2.657 1.608 0.000
Li 2.657 -1.608 0.000
Ru 1.779 0.000 2.373
Rh 1.779 3.129 2.373
Rh 1.779 -3.129 2.373
O 0.910 1.574 1.288
O 0.009 0.000 3.463
O 0.910 -1.574 1.288
O 2.647 1.574 3.457
O 3.549 0.000 1.282
O 2.647 -1.574 3.457
```

Output
E_tot   -6.132 eV per atom
ΔE_f (raw)   -1.18 eV per atom

Entry 4:
VASP calculation (GGA-PBE) on crystalline AcPr2Ho5 at its relaxed geometry. Values from VASP.

Cell and atoms, written as Quantum ESPRESSO input:
```
&SYSTEM
  ibrav = 0, nat = 16, ntyp = 3
/
ATOMIC_SPECIES
Ac 227.00 Ac.upf
Pr 140.91 Pr.upf
Ho 164.93 Ho.upf
CELL_PARAMETERS angstrom
7.245 0.000 0.000
0.000 14.511 0.000
0.000 0.000 5.145
ATOMIC_POSITIONS angstrom
Ac 0.000 0.000 0.000
Ac 3.622 7.256 0.000
Pr 1.753 5.392 2.572
Pr 1.870 12.648 2.572
Pr 5.375 1.863 2.572
Pr 5.492 9.119 2.572
Ho 0.000 7.256 0.000
Ho 0.046 10.834 0.000
Ho 1.797 1.849 2.572
Ho 1.825 9.105 2.572
Ho 3.576 3.578 0.000
Ho 3.622 0.000 0.000
Ho 3.669 10.933 0.000
Ho 5.420 5.406 2.572
Ho 5.448 12.662 2.572
Ho 7.199 3.677 0.000
```

Output
E_tot   -4.532 eV per atom
Energy above the most stable polymorph in this dataset   0.000 eV/f.u.
Energy of formation from the pure elements   3.6 kJ/mol of atoms

The records above yield spin magnetization values of 0.0 6.9 1.0 0.0 μB/f.u., respectively.
The records above yield volume values of 18.7 20.2 9.8 33.8 Å³/atom, respectively.
The records above yield Fermi-level density of states values of 1.8 1.5 6.8 11.2 states/eV/f.u., respectively.